First-principles (GGA-PBE) data for an optimized crystal structure of Sc4AgPd2, as listed in Alexandria.

Structure (POSCAR):
```
Sc4AgPd2
1.0
2.351 1.358 7.505
-2.351 1.358 7.505
0.000 -2.715 7.505
Sc Ag Pd
4 1 2
Cartesian
0.000 0.000 2.668
0.000 0.000 8.333
0.000 0.000 14.182
0.000 0.000 19.846
0.000 0.000 11.257
0.000 0.000 5.572
0.000 0.000 16.942
```

Calculated values
M_tot (μB per formula unit): 0.00
Formation energy from the elements (eV per atom): -0.529
DOS(E_F) (states/eV/cell): 5.9
Symmetry: R-3m